No. 1
First-principles (PBE) data for TlPW3 after structural relaxation, as listed in Alexandria via LeMat-Bulk.

## Properties
Total energy ... -29.0 eV/cell
M_tot ... 0.00 Bohr magnetons per cell
Formation energy ... 3.521 eV per atom
Crystal system ... cubic

Unit cell a=4.968 b=4.968 c=4.968 alpha=90.00 beta=90.00 gamma=90.00
Fractional coordinates of all 5 atoms:
Tl: 0.000 0.000 0.000
P: 0.500 0.500 0.500
W: 0.000 0.000 0.500
W: 0.000 0.500 0.000
W: 0.500 0.000 0.000

---

No. 2
First-principles (PBE) data for TlP2W after structural relaxation, as listed in Alexandria via LeMat-Bulk.

## Properties
Total energy ... -21.4 eV/cell
M_tot ... 0.00 Bohr magnetons per cell
Formation energy ... 1.176 eV per atom
Crystal system ... cubic

Unit cell a=4.626 b=4.626 c=4.626 alpha=60.00 beta=60.00 gamma=60.00
Fractional coordinates of all 4 atoms:
Tl: 0.000 0.000 0.000
P: 0.500 0.500 0.500
P: 0.750 0.750 0.750
W: 0.250 0.250 0.250

---

No. 3
First-principles (PBE) data for TlPW after structural relaxation, as listed in Alexandria via LeMat-Bulk.

## Properties
Total energy ... -19.2 eV/cell
M_tot ... 0.00 Bohr magnetons per cell
Formation energy ... 0.502 eV per atom
Crystal system ... orthorhombic

Unit cell a=8.255 b=8.056 c=2.955 alpha=83.38 beta=75.79 gamma=20.83
Fractional coordinates of all 3 atoms:
Tl: 0.000 0.000 0.000
P: 0.720 0.720 0.280
W: 0.328 0.328 0.672

---

No. 4
First-principles (PBE) data for TlP2W after structural relaxation, as listed in Alexandria via LeMat-Bulk.

## Properties
Total energy ... -22.8 eV/cell
M_tot ... 0.85 Bohr magnetons per cell
Formation energy ... 0.825 eV per atom
Crystal system ... cubic

Unit cell a=4.601 b=4.601 c=4.601 alpha=60.00 beta=60.00 gamma=60.00
Fractional coordinates of all 4 atoms:
Tl: 0.000 0.000 0.000
P: 0.250 0.250 0.250
P: 0.750 0.750 0.750
W: 0.500 0.500 0.500

---

No. 5
First-principles (PBE) data for TlP2W after structural relaxation, as listed in Alexandria via LeMat-Bulk.

## Properties
Total energy ... -50.0 eV/cell
M_tot ... 0.00 Bohr magnetons per cell
Formation energy ... 0.281 eV per atom
Crystal system ... tetragonal

Unit cell a=7.213 b=7.213 c=7.213 alpha=128.44 beta=128.44 gamma=75.91
Fractional coordinates of all 8 atoms:
Tl: 0.000 0.000 0.000
Tl: 0.750 0.250 0.500
P: 0.233 0.625 0.108
P: 0.375 0.483 0.608
P: 0.517 0.125 0.892
P: 0.875 0.767 0.392
W: 0.250 0.750 0.500
W: 0.500 0.500 0.000

---

No. 6
First-principles (PBE) data for TlPW3 after structural relaxation, as listed in Alexandria via LeMat-Bulk.

## Properties
Total energy ... -41.6 eV/cell
M_tot ... 0.00 Bohr magnetons per cell
Formation energy ... 1.001 eV per atom
Crystal system ... cubic

Unit cell a=4.516 b=4.516 c=4.516 alpha=90.00 beta=90.00 gamma=90.00
Fractional coordinates of all 5 atoms:
Tl: 0.000 0.000 0.000
P: 0.500 0.500 0.500
W: 0.000 0.500 0.500
W: 0.500 0.000 0.500
W: 0.500 0.500 0.000

---

No. 7
First-principles (PBE) data for TlP2W after structural relaxation, as listed in Alexandria via LeMat-Bulk.

## Properties
Total energy ... -26.2 eV/cell
M_tot ... 0.00 Bohr magnetons per cell
Formation energy ... -0.003 eV per atom
Crystal system ... trigonal

Unit cell a=8.798 b=8.798 c=8.798 alpha=21.48 beta=21.48 gamma=21.48
Fractional coordinates of all 4 atoms:
Tl: 0.000 0.000 0.000
P: 0.228 0.228 0.228
P: 0.772 0.772 0.772
W: 0.500 0.500 0.500

---

No. 8
First-principles (PBE) data for TlP2W after structural relaxation, as listed in Alexandria via LeMat-Bulk.

## Properties
Total energy ... -24.7 eV/cell
M_tot ... 0.00 Bohr magnetons per cell
Formation energy ... 0.352 eV per atom
Crystal system ... tetragonal

Unit cell a=3.148 b=3.148 c=7.769 alpha=90.00 beta=90.00 gamma=90.00
Fractional coordinates of all 4 atoms:
Tl: 0.000 0.000 0.000
P: 0.000 0.000 0.441
P: 0.500 0.500 0.618
W: 0.500 0.500 0.306

---

Number 1: relative energy among the computed polymorphs 2519.9 meV per atom, V 24.5 Å³ per atom. Number 2: relative energy among the computed polymorphs 1179.5 meV per atom, V 17.5 Å³ per atom. Number 3: relative energy among the computed polymorphs 234.8 meV per atom, V 21.3 Å³ per atom. Number 4: relative energy among the computed polymorphs 827.7 meV per atom, V 17.2 Å³ per atom. Number 5: relative energy among the computed polymorphs 284.3 meV per atom, V 28.0 Å³ per atom. Number 6: relative energy among the computed polymorphs 0.0 meV per atom, V 18.4 Å³ per atom. Number 7: relative energy among the computed polymorphs 0.0 meV per atom, V 20.0 Å³ per atom. Number 8: relative energy among the computed polymorphs 355.2 meV per atom, V 19.2 Å³ per atom.